The following is a DFT calculation (PBE) of an optimized crystal structure of Pr4Ga2O9.

```
data_Pr4Ga2O9
_chemical_formula_sum 'Pr16 Ga8 O36'
_symmetry_space_group_name_H-M 'P 1 21/c 1'
_symmetry_Int_Tables_number 14
_cell_length_a 7.905
_cell_length_b 11.165
_cell_length_c 11.691
_cell_angle_alpha 90.00
_cell_angle_beta 109.14
_cell_angle_gamma 90.00
loop_
_symmetry_equiv_pos_as_xyz
'x,y,z'
'-x,-y,-z'
'-x,y+1/2,-z+1/2'
'x,-y+1/2,z+1/2'
loop_
_atom_site_label
_atom_site_type_symbol
_atom_site_fract_x
_atom_site_fract_y
_atom_site_fract_z
Pr1 Pr 0.021 0.104 0.282
Pr2 Pr 0.167 0.622 0.572
Pr3 Pr 0.335 0.122 0.912
Pr4 Pr 0.476 0.589 0.194
Ga1 Ga 0.155 0.185 0.615
Ga2 Ga 0.282 0.688 0.873
O1 O 0.068 0.750 0.388
O2 O 0.069 0.011 0.898
O3 O 0.140 0.227 0.460
O4 O 0.204 0.031 0.678
O5 O 0.266 0.725 0.233
O6 O 0.279 0.530 0.828
O7 O 0.284 0.223 0.248
O8 O 0.423 0.004 0.105
O9 O 0.427 0.732 0.024
```

Summary:
* N(E_F): 0.0 states/eV/cell
* uncorrected formation energy: -2886 meV per atom